The following is a DFT calculation (GGA-PBE) of a relaxed CuSb2Pb crystal.

Cell: 5.231 5.231 5.231 Å, 60.00 60.00 60.00°
Positions (direct):
Cu: 0.000 0.000 0.000
Sb: 0.250 0.250 0.250
Sb: 0.500 0.500 0.500
Pb: 0.750 0.750 0.750

Its calculated volume is 101.2 Å³ per cell. As for the uncorrected formation energy: 0.3613 eV per atom. The crystal system is cubic. Its total energy is -3.6511 eV/atom.

The following is a DFT calculation (GGA-PBE) of a relaxed CuSb2Pb crystal.

Cell: 6.194 6.255 6.766 Å, 78.14 66.53 62.03°
Positions (direct):
Cu: 0.000 0.000 0.000
Cu: 0.240 0.247 0.976
Sb: 0.046 0.670 0.776
Sb: 0.509 0.832 0.759
Sb: 0.687 0.279 0.762
Sb: 0.771 0.345 0.283
Pb: 0.176 0.587 0.276
Pb: 0.526 0.951 0.277

Its calculated volume is 212.3 Å³ per cell. As for the uncorrected formation energy: 0.0929 eV per atom. The crystal system is triclinic. Its total energy is -3.9194 eV/atom.

The following is a DFT calculation (GGA-PBE) of a relaxed CuSbPb2 crystal.

Cell: 5.782 5.782 3.411 Å, 90.11 90.11 111.72°
Positions (direct):
Cu: 0.000 0.000 0.000
Sb: 0.500 0.500 0.000
Pb: 0.000 0.500 0.500
Pb: 0.500 0.000 0.500

Its calculated volume is 106.0 Å³ per cell. As for the uncorrected formation energy: 0.2955 eV per atom. The crystal system is monoclinic. Its total energy is -3.6134 eV/atom.